# 1
A relaxed structure of PuIn2Hg8. Source: Alexandria via LeMat-Bulk, functional PBE-GGA.

```
11
Lattice="4.810 -7.141 0.000 4.810 7.141 0.000 -0.330 0.000 4.425" Properties=species:S:1:pos:R:3 pbc="T T T"
Pu 0.000 0.000 0.000
In 4.645 1.756 2.212
In 4.645 -1.756 2.212
Hg 1.557 1.872 2.316
Hg 4.810 3.813 0.000
Hg 1.557 -1.872 2.316
Hg 3.202 0.000 0.072
Hg 6.088 0.000 4.353
Hg 7.733 1.872 2.108
Hg 4.810 -3.813 0.000
Hg 7.733 -1.872 2.108
```

Properties
SG: C2/m, No. 12
Relative energy among the computed polymorphs in eV/atom: 0.000
Magnetization in Bohr magnetons per cell: 6.14
Density of states at the Fermi level in states/eV per atom: 1.550
Energy of formation in eV/atom: -0.008



# 2
A relaxed structure of NaUTe3. Source: Alexandria via LeMat-Bulk, functional PBE-GGA.

```
10
Lattice="7.246 -2.942 0.000 7.246 2.942 0.000 -2.055 0.000 9.145" Properties=species:S:1:pos:R:3 pbc="T T T"
Na 1.151 0.000 3.777
Na 11.286 0.000 5.368
U 5.162 0.000 0.799
U 7.275 0.000 8.346
Te 0.364 0.000 8.571
Te 4.261 0.000 3.519
Te 4.498 0.000 7.298
Te 7.939 0.000 1.847
Te 8.175 0.000 5.625
Te 12.073 0.000 0.574
```

Properties
SG: C2/m, No. 12
Relative energy among the computed polymorphs in eV/atom: 0.129
E_form (uncorrected) in meV/atom: -557
Magnetization in Bohr magnetons per cell: 1.96
Density of states at the Fermi level in states/eV per atom: 0.926



Q: Among the records above, which one has the highest relative energy among the computed polymorphs?
A: NaUTe3



Q: Which value of relative energy among the computed polymorphs does entry 2 give?
A: 0.129 eV/atom